Entry 1:
First-principles (PBE) data for a relaxed BaCa2MoPd crystal, as listed in the Alexandria database.

Properties
ΔE_f (meV per atom): 513
D(E_F) (states/eV/atom): 1.2267
Size of the total moment (μB per atom): 0.238
SG: P4/mmm

abc: 5.679 4.995 5.679
angles: 90.00 90.00 90.00
Last column: magnetic moment on the atom in μB.
Positions (direct):
Ca 0.500 0.000 0.000  0.03
Ca 0.000 0.000 0.500  0.02
Mo 0.000 0.000 0.000  1.08
Pd 0.000 0.500 0.000  0.03
Ba 0.500 0.500 0.500  -0.03


Entry 2:
First-principles (PBE) data for a relaxed BaCaMoS2 crystal, as listed in the Alexandria database.

Properties
D(E_F) (states/eV/atom): 1.0080
Raw formation energy (eV/atom): 0.588
Size of the total moment (μB per atom): 1.042
SG: P4/mmm

abc: 5.210 6.225 5.210
angles: 90.00 90.00 90.00
Last column: magnetic moment on the atom in μB.
Positions (direct):
S 0.000 0.000 0.500  0.01
S 0.500 0.000 0.000  0.03
Ba 0.000 0.500 0.000  0.08
Mo 0.500 0.500 0.500  3.86
Ca 0.000 0.000 0.000  0.01


> Which formula does entry 2 have?

BaCaMoS2


> What is the size of the total moment in the first record?

0.238 μB per atom